First-principles (PBE) data for an optimized crystal structure of SrScRh2O, as listed in the Alexandria database.

abc: 5.004 4.058 5.004
angles: 90.00 90.00 90.00
Atoms (fractional coordinates):
Rh (0.500, 0.000, 0.000)
Rh (0.000, 0.000, 0.500)
O (0.000, 0.500, 0.000)
Sc (0.000, 0.000, 0.000)
Sr (0.500, 0.500, 0.500)

Properties
VASP energy   -6.00 eV per atom

***

First-principles (PBE) data for an optimized crystal structure of ScTaRhO6, as listed in the Alexandria database.

abc: 4.765 4.765 9.375
angles: 90.00 90.00 90.00
Atoms (fractional coordinates):
O (0.702, 0.702, 0.323)
O (0.798, 0.202, 0.823)
O (0.202, 0.798, 0.173)
O (0.188, 0.812, 0.502)
O (0.702, 0.702, 0.673)
O (0.202, 0.798, 0.823)
O (0.798, 0.202, 0.173)
O (0.812, 0.188, 0.502)
O (0.298, 0.298, 0.673)
O (0.312, 0.312, 0.002)
O (0.298, 0.298, 0.323)
O (0.688, 0.688, 0.002)
Ta (0.500, 0.500, 0.169)
Ta (0.000, 0.000, 0.669)
Rh (0.000, 0.000, 0.332)
Rh (0.500, 0.500, 0.832)
Sc (0.500, 0.500, 0.504)
Sc (0.000, 0.000, 0.004)

Properties
VASP energy   -8.42 eV per atom

***

First-principles (PBE) data for an optimized crystal structure of ScTeRhO5, as listed in the Alexandria database.

abc: 6.077 6.077 7.999
angles: 110.41 110.41 106.50
Atoms (fractional coordinates):
O (0.613, 0.810, 0.926)
O (0.387, 0.190, 0.074)
O (0.633, 0.085, 0.426)
O (0.085, 0.633, 0.926)
O (0.055, 0.945, 0.250)
O (0.945, 0.055, 0.750)
O (0.915, 0.367, 0.074)
O (0.810, 0.613, 0.426)
O (0.190, 0.387, 0.574)
O (0.367, 0.915, 0.574)
Te (0.268, 0.732, 0.750)
Te (0.732, 0.268, 0.250)
Rh (0.256, 0.744, 0.250)
Rh (0.744, 0.256, 0.750)
Sc (0.000, 0.000, 0.500)
Sc (0.000, 0.000, 0.000)

Properties
VASP energy   -6.63 eV per atom

***

First-principles (PBE) data for an optimized crystal structure of ScTeRhO2, as listed in the Alexandria database.

abc: 3.915 6.056 3.915
angles: 90.00 90.00 90.00
Atoms (fractional coordinates):
Rh (0.000, 0.500, 0.000)
O (0.000, 0.000, 0.500)
O (0.500, 0.000, 0.000)
Sc (0.000, 0.000, 0.000)
Te (0.500, 0.500, 0.500)

Properties
VASP energy   -6.29 eV per atom

***

First-principles (PBE) data for an optimized crystal structure of ScTi2RhO, as listed in the Alexandria database.

abc: 4.098 4.098 4.315
angles: 90.00 90.00 90.00
Atoms (fractional coordinates):
Rh (0.500, 0.500, 0.500)
O (0.000, 0.000, 0.000)
Ti (0.000, 0.500, 0.000)
Ti (0.500, 0.000, 0.000)
Sc (0.000, 0.000, 0.500)

Properties
VASP energy   -8.25 eV per atom

***

First-principles (PBE) data for an optimized crystal structure of Sc2TiRhO, as listed in the Alexandria database.

abc: 4.385 4.385 4.009
angles: 90.00 90.00 90.00
Atoms (fractional coordinates):
O (0.000, 0.000, 0.000)
Sc (0.500, 0.000, 0.000)
Sc (0.000, 0.500, 0.000)
Rh (0.500, 0.500, 0.500)
Ti (0.000, 0.000, 0.500)

Properties
VASP energy   -8.00 eV per atom

***

First-principles (PBE) data for an optimized crystal structure of YSc2RhO, as listed in the Alexandria database.

abc: 4.284 4.284 4.833
angles: 90.00 90.00 90.00
Atoms (fractional coordinates):
O (0.000, 0.000, 0.000)
Sc (0.000, 0.500, 0.000)
Sc (0.500, 0.000, 0.000)
Rh (0.500, 0.500, 0.500)
Y (0.000, 0.000, 0.500)

Properties
VASP energy   -7.76 eV per atom

***

First-principles (PBE) data for an optimized crystal structure of RhSeO3, as listed in the Alexandria database.

abc: 3.884 3.884 3.884
angles: 90.00 90.00 90.00
Atoms (fractional coordinates):
Se (0.500, 0.500, 0.500)
O (0.500, 0.000, 0.000)
O (0.000, 0.500, 0.000)
O (0.000, 0.000, 0.500)
Rh (0.000, 0.000, 0.000)

Properties
VASP energy   -5.02 eV per atom